(1)
Nd2DyHg3PdAu2: optimized geometry, PBE.

The structure in extended XYZ format:
```
9
Lattice="3.875 0.000 0.000 0.000 6.867 3.993 0.000 -6.867 3.993" Properties=species:S:1:pos:R:3 pbc="T T T"
Nd 0.000 -4.149 3.993
Nd 0.000 4.149 3.993
Dy 0.000 0.000 3.262
Hg 1.938 0.000 0.519
Hg 1.938 -1.794 5.356
Hg 1.938 1.794 5.356
Pd 0.000 0.000 6.391
Au 1.938 -2.234 2.436
Au 1.938 2.234 2.436
```

Summary:
- ΔH_f (0 K) (kJ per mole of atoms) = -64.2



(2)
RbTbCdTe3: optimized geometry, PBE.

The structure in extended XYZ format:
```
12
Lattice="9.395 0.000 0.000 0.000 4.532 0.000 -3.781 0.000 10.651" Properties=species:S:1:pos:R:3 pbc="T T T"
Rb 1.267 1.133 2.938
Rb 4.348 3.399 7.713
Tb -0.275 3.399 9.222
Tb 5.889 1.133 1.429
Cd -1.566 1.133 6.526
Cd 7.180 3.399 4.125
Te -2.448 1.133 9.188
Te 0.145 3.399 5.943
Te 3.771 3.399 1.595
Te 1.843 1.133 9.056
Te 5.470 1.133 4.708
Te 8.063 3.399 1.463
```

Summary:
- VASP energy (eV per atom) = -3.72



(3)
HfH: optimized geometry, PBE.

The structure in extended XYZ format:
```
2
Lattice="3.086 0.000 0.000 -1.543 2.673 0.000 0.000 0.000 2.880" Properties=species:S:1:pos:R:3 pbc="T T T"
Hf 0.000 0.000 0.000
H 0.000 1.782 1.440
```

Summary:
- VASP energy (eV per atom) = -6.65



(4)
ZrBi2: optimized geometry, PBE.

The structure in extended XYZ format:
```
24
Lattice="10.318 0.000 0.000 0.000 15.605 0.000 0.000 0.000 4.026" Properties=species:S:1:pos:R:3 pbc="T T T"
Zr 0.240 3.880 0.000
Zr 1.686 7.897 0.000
Zr 3.473 0.094 2.013
Zr 4.919 11.683 2.013
Zr 5.399 3.922 2.013
Zr 6.845 15.511 2.013
Zr 8.632 7.708 0.000
Zr 10.078 11.725 0.000
Bi 0.136 6.149 2.013
Bi 1.264 0.889 0.000
Bi 1.585 13.267 2.013
Bi 2.429 3.122 2.013
Bi 2.730 10.925 0.000
Bi 3.574 5.464 0.000
Bi 3.895 8.692 2.013
Bi 5.023 13.952 0.000
Bi 5.295 1.653 0.000
Bi 6.423 6.913 2.013
Bi 6.745 10.141 0.000
Bi 7.588 4.681 0.000
Bi 7.890 12.483 2.013
Bi 8.733 2.339 2.013
Bi 9.055 14.716 0.000
Bi 10.183 9.456 2.013
```

Summary:
- VASP energy (eV per atom) = -5.84



(5)
TlMoAuSeS2: optimized geometry, PBE.

The structure in extended XYZ format:
```
12
Lattice="1.698 -8.125 0.000 1.698 8.125 0.000 0.000 0.000 9.879" Properties=species:S:1:pos:R:3 pbc="T T T"
Tl 1.698 4.987 7.409
Tl 1.698 -4.987 2.470
Mo 1.698 0.000 0.000
Mo 1.698 0.000 4.939
Au 1.698 5.635 2.470
Au 1.698 -5.635 7.409
Se 1.698 0.529 2.470
Se 1.698 -0.529 7.409
S 1.698 6.354 0.221
S 1.698 6.354 4.719
S 1.698 -6.354 5.160
S 1.698 -6.354 9.658
```

Summary:
- VASP energy (eV per atom) = -4.92



(6)
Sr3Ga3Ir2: optimized geometry, PBE.

The structure in extended XYZ format:
```
16
Lattice="2.171 -5.808 0.000 2.171 5.808 0.000 0.000 0.000 15.623" Properties=species:S:1:pos:R:3 pbc="T T T"
Sr 2.171 5.035 9.450
Sr 2.171 5.035 13.985
Sr 2.171 1.563 11.717
Sr 2.171 -1.563 3.906
Sr 2.171 -5.035 1.639
Sr 2.171 -5.035 6.173
Ga 2.171 1.980 3.906
Ga 2.171 1.899 8.391
Ga 2.171 1.899 15.044
Ga 2.171 -1.899 0.580
Ga 2.171 -1.899 7.232
Ga 2.171 -1.980 11.717
Ir 2.171 3.217 1.685
Ir 2.171 3.217 6.126
Ir 2.171 -3.217 9.497
Ir 2.171 -3.217 13.938
```

Summary:
- VASP energy (eV per atom) = -4.49